Density functional theory data (GGA-PBE) for a geometry-optimized SmEr7 structure.

POSCAR file:
```
SmEr7
1.0
-4.167 -1.072 -5.562
1.685 -4.888 -4.766
-3.788 -5.906 -0.469
Sm Er
1 7
Direct
0.000 0.000 0.000
0.500 0.500 0.000
0.500 0.000 0.500
0.000 0.500 0.500
0.500 0.000 0.000
0.000 0.500 0.000
0.000 0.000 0.500
0.500 0.500 0.500
```

Output
**DFT formation energy**: 0.023 eV/atom
**Energy above the lowest structure with this stoichiometry**: 0.000 eV/atom
**Space-group type**: Fm-3m (225)
**Total magnetization**: 0.000 μB/f.u.
**Volume**: 245.9 Å³/f.u.
**Calculated total energy**: -4.559 eV/atom